[1]
Density functional theory data (GGA-PBE) for NaCeTlSe3 after structural relaxation.

For the magnetization, the calculation gives 0.14 μB per formula unit. The calculation puts the uncorrected formation energy at -1.23 eV per atom. For the total DFT energy (no corrections), the calculation gives -4.5712 eV per atom.

The structure belongs to space group P2_1/m (No. 11); the cell edges are 7.998, 4.299 and 10.238 Å and the angles 90.00°, 93.19° and 90.00°. The inequivalent atoms are Na at (0.236, 0.250, 0.490), Ce at (0.420, 0.750, 0.815), Tl at (0.061, 0.750, 0.166), Se at (0.116, 0.750, 0.669), Se at (0.306, 0.250, 0.982) and Se at (0.431, 0.750, 0.324).



[2]
Density functional theory data (GGA-PBE) for Th4AuSe3 after structural relaxation.

For the magnetization, the calculation gives 0.00 μB per formula unit. The calculation puts the uncorrected formation energy at -1.34 eV per atom. For the total DFT energy (no corrections), the calculation gives -6.7626 eV per atom. For the density of states at the Fermi level, the calculation gives 0.636 states/eV/atom.

The structure belongs to space group I4/mmm (No. 139); the cell edges are 5.991, 5.991 and 12.063 Å and the angles 90.00°, 90.00° and 90.00°. The inequivalent atoms are Th at (0.000, 0.000, 0.246), Th at (0.000, 0.500, 0.000), Au at (0.000, 0.000, 0.500), Se at (0.000, 0.000, 0.000) and Se at (0.000, 0.500, 0.250).



[3]
Density functional theory data (GGA-PBE) for Pm2Y6Tm3 after structural relaxation.

Its energy relative to the elements is 2.1 eV/f.u. For the magnetization, the calculation gives 0.00 μB per formula unit. For the excess energy over the best structure of this formula in the dataset, the calculation gives 0.000 eV/atom. For the total DFT energy (no corrections), the calculation gives -5.4180 eV per atom. For the density of states at the Fermi level, the calculation gives 1.748 states/eV/atom.

The structure belongs to space group C2/m (No. 12); the cell edges are 6.120, 10.616 and 11.672 Å and the angles 90.00°, 100.15° and 90.00°. The inequivalent atoms are Pm at (0.000, 0.167, 0.000), Y at (0.249, 0.167, 0.747), Y at (0.249, 0.500, 0.747), Tm at (0.000, 0.000, 0.500) and Tm at (0.000, 0.335, 0.500).



[4]
Density functional theory data (GGA-PBE) for BeTeIN2 after structural relaxation.

For the magnetization, the calculation gives 4.14 μB per formula unit. The calculation puts the uncorrected formation energy at 1.57 eV per atom. For the excess energy over the best structure of this formula in the dataset, the calculation gives 0.017 eV/atom. For the total DFT energy (no corrections), the calculation gives -3.4463 eV per atom. For the density of states at the Fermi level, the calculation gives 0.164 states/eV/atom.

The structure belongs to space group P4/mmm (No. 123); the cell edges are 4.145, 4.145 and 5.633 Å and the angles 90.00°, 90.00° and 90.00°. The inequivalent atoms are Be at (0.000, 0.000, 0.000), Te at (0.000, 0.000, 0.500), I at (0.500, 0.500, 0.500) and N at (0.000, 0.500, 0.000).



[5]
Density functional theory data (GGA-PBE) for In2PbAu after structural relaxation.

Its energy relative to the elements is -0.3 eV/f.u. For the magnetization, the calculation gives 0.00 μB per formula unit. For the total DFT energy (no corrections), the calculation gives -3.1834 eV per atom. For the density of states at the Fermi level, the calculation gives 0.389 states/eV/atom.

The structure belongs to space group R-3m (No. 166, hexagonal axes); the cell edges are 3.6925, 3.6925 and 26.8099 Å and the angles 90.00°, 90.00° and 120.00°. The inequivalent atoms are In at (0.0000, 0.0000, 0.2382), Pb at (0.0000, 0.0000, 0.0000) and Au at (0.0000, 0.0000, 0.5000).



[6]
Density functional theory data (GGA-PBE) for PPd3Se after structural relaxation.

For the magnetization, the calculation gives 0.00 μB per formula unit. The calculation puts the uncorrected formation energy at 0.52 eV per atom. For the excess energy over the best structure of this formula in the dataset, the calculation gives 0.803 eV/atom. For the total DFT energy (no corrections), the calculation gives -4.3709 eV per atom. For the density of states at the Fermi level, the calculation gives 1.152 states/eV/atom.

The structure belongs to space group Pm-3m (No. 221); the cell edges are 4.676, 4.676 and 4.676 Å and the angles 90.00°, 90.00° and 90.00°. The inequivalent atoms are P at (0.000, 0.000, 0.000), Pd at (0.000, 0.500, 0.500) and Se at (0.500, 0.500, 0.500).



[7]
Density functional theory data (GGA-PBE) for MgRh2Se after structural relaxation.

For the magnetization, the calculation gives 0.00 μB per formula unit. The calculation puts the uncorrected formation energy at -0.30 eV per atom. For the total DFT energy (no corrections), the calculation gives -5.2430 eV per atom. For the density of states at the Fermi level, the calculation gives 0.581 states/eV/atom.

The structure belongs to space group Cm (No. 8); the cell edges are 9.349, 3.147 and 4.462 Å and the angles 90.00°, 107.24° and 90.00°. The inequivalent atoms are Mg at (0.000, 0.000, 0.000), Rh at (0.252, 0.000, 0.840), Rh at (0.476, 0.000, 0.479) and Se at (0.254, 0.500, 0.401).



[8]
Density functional theory data (GGA-PBE) for Al3Re5 after structural relaxation.

Its energy relative to the elements is -0.5 eV/f.u. For the magnetization, the calculation gives 0.00 μB per formula unit. For the excess energy over the best structure of this formula in the dataset, the calculation gives 0.000 eV/atom. For the total DFT energy (no corrections), the calculation gives -9.2472 eV per atom. For the density of states at the Fermi level, the calculation gives 0.596 states/eV/atom.

The structure belongs to space group I4/mcm (No. 140); the cell edges are 9.772, 9.772 and 4.881 Å and the angles 90.00°, 90.00° and 90.00°. The inequivalent atoms are Al at (0.000, 0.000, 0.250), Al at (0.178, 0.322, 0.000), Re at (0.000, 0.500, 0.250) and Re at (0.066, 0.235, 0.500).



[9]
Density functional theory data (GGA-PBE) for TaTiCo3 after structural relaxation.

Its energy relative to the elements is 5.8 eV/f.u. For the magnetization, the calculation gives 2.12 μB per formula unit. For the excess energy over the best structure of this formula in the dataset, the calculation gives 1.246 eV/atom. For the total DFT energy (no corrections), the calculation gives -7.0590 eV per atom. For the density of states at the Fermi level, the calculation gives 1.261 states/eV/atom.

The structure belongs to space group Pm-3m (No. 221); the cell edges are 4.414, 4.414 and 4.414 Å and the angles 90.00°, 90.00° and 90.00°. The inequivalent atoms are Ta at (0.000, 0.000, 0.000), Ti at (0.500, 0.500, 0.500) and Co at (0.000, 0.000, 0.500).



[10]
Density functional theory data (GGA-PBE) for Pr4ErPu3S8 after structural relaxation.

For the magnetization, the calculation gives 16.69 μB per formula unit. The calculation puts the uncorrected formation energy at -1.93 eV per atom. For the total DFT energy (no corrections), the calculation gives -8.1649 eV per atom. For the density of states at the Fermi level, the calculation gives 1.568 states/eV/atom.

The structure belongs to space group R-3m (No. 166, hexagonal axes); the cell edges are 8.0067, 8.0067 and 19.8419 Å and the angles 90.00°, 90.00° and 120.00°. The inequivalent atoms are Pr at (0.0000, 0.0000, 0.0000), Pr at (0.0000, 0.5000, 0.0000), Er at (0.0000, 0.0000, 0.5000), Pu at (0.0000, 0.5000, 0.5000), S at (0.0000, 0.0000, 0.2452) and S at (0.0035, 0.5017, 0.2447).



[11]
Density functional theory data (GGA-PBE) for Nd4GaS2Cl after structural relaxation.

For the magnetization, the calculation gives 0.00 μB per formula unit. The calculation puts the uncorrected formation energy at -1.53 eV per atom. For the total DFT energy (no corrections), the calculation gives -5.5545 eV per atom. For the density of states at the Fermi level, the calculation gives 0.467 states/eV/atom.

The structure belongs to space group P2/m (No. 10); the cell edges are 7.251, 4.046 and 7.288 Å and the angles 90.00°, 108.27° and 90.00°. The inequivalent atoms are Nd at (0.229, 0.000, 0.231), Nd at (0.235, 0.500, 0.750), Ga at (0.500, 0.000, 0.000), S at (0.000, 0.000, 0.500), S at (0.000, 0.500, 0.000) and Cl at (0.500, 0.500, 0.500).